Compound: CrCoBr2
Source: Alexandria
Functional: PBE-GGA
Structure: relaxed

Computed properties:
* offset from the most stable computed form: 0.415 eV per atom
* symmetry: I-4m2 (119)
* energy relative to the elements, uncorrected: 0.4436 eV/atom
* size of the total moment: 6.6 μB/f.u.

Geometry as extended XYZ:
```
8
Lattice="3.6939 0.0000 0.0000 0.0000 3.6939 0.0000 0.0000 0.0000 13.4827" Properties=species:S:1:pos:R:3 pbc="T T T"
Cr 0.0000 0.0000 0.0000
Cr 1.8470 1.8470 6.7414
Co 0.0000 1.8470 3.3707
Co 1.8470 0.0000 10.1121
Br 0.0000 0.0000 6.7414
Br 0.0000 1.8470 10.1121
Br 1.8470 0.0000 3.3707
Br 1.8470 1.8470 0.0000
```